{
  "formula": "CsSrLa3",
  "functional": "PBE",
  "state": "optimized geometry",
  "spacegroup": "No. 221",
  "e_form_ev_per_fu": 4.27,
  "e_above_lowest_polymorph_mev_per_atom": 127,
  "crystal_system": "cubic",
  "lattice": [[6.3675, 0.0000, 0.0000], [0.0000, 6.3675, 0.0000], [0.0000, 0.0000, 6.3675]],
  "species": ["Cs", "Sr", "La", "La", "La"],
  "fractional_positions": [[0.5000, 0.5000, 0.5000], [0.0000, 0.0000, 0.0000], [0.0000, 0.5000, 0.0000], [0.0000, 0.0000, 0.5000], [0.5000, 0.0000, 0.0000]]
}

---

{
  "formula": "Nd6Tm5Sc2",
  "functional": "PBE",
  "state": "optimized geometry",
  "spacegroup": "No. 55",
  "e_form_ev_per_fu": 0.91,
  "crystal_system": "orthorhombic",
  "lattice": [[3.5710, 0.0000, 0.0000], [0.0000, 11.4449, 0.0000], [0.0000, 0.0000, 20.2705]],
  "species": ["Nd", "Nd", "Nd", "Nd", "Nd", "Nd", "Nd", "Nd", "Nd", "Nd", "Nd", "Nd", "Tm", "Tm", "Tm", "Tm", "Tm", "Tm", "Tm", "Tm", "Tm", "Tm", "Sc", "Sc", "Sc", "Sc"],
  "fractional_positions": [[0.0000, 0.1676, 0.3817], [0.0000, 0.8324, 0.6183], [0.0000, 0.6676, 0.1183], [0.0000, 0.3324, 0.8817], [0.5000, 0.4180, 0.1558], [0.5000, 0.5820, 0.8442], [0.5000, 0.9180, 0.3442], [0.5000, 0.0820, 0.6558], [0.0000, 0.7137, 0.4462], [0.0000, 0.2863, 0.5538], [0.0000, 0.2137, 0.0538], [0.0000, 0.7863, 0.9462], [0.5000, 0.4434, 0.4211], [0.5000, 0.5566, 0.5789], [0.5000, 0.9434, 0.0789], [0.5000, 0.0566, 0.9211], [0.5000, 0.6437, 0.2797], [0.5000, 0.3563, 0.7203], [0.5000, 0.1437, 0.2203], [0.5000, 0.8563, 0.7797], [0.5000, 0.5000, 0.0000], [0.5000, 0.0000, 0.5000], [0.0000, 0.3864, 0.2883], [0.0000, 0.6136, 0.7117], [0.0000, 0.8864, 0.2117], [0.0000, 0.1136, 0.7883]]
}

---

{
  "formula": "SbMoPb2",
  "functional": "PBE",
  "state": "optimized geometry",
  "spacegroup": "No. 123",
  "raw_formation_energy_mev_per_atom": 694,
  "crystal_system": "tetragonal",
  "lattice": [[4.4515, 0.0000, 0.0000], [0.0000, 4.4496, 0.0000], [0.0000, 0.0000, 5.2513]],
  "species": ["Mo", "Pb", "Pb", "Sb"],
  "fractional_positions": [[0.0000, 0.5000, 0.5000], [0.0000, 0.0000, 0.0000], [0.5000, 0.5000, 0.0000], [0.5000, 0.0000, 0.5000]]
}

---

{
  "formula": "KInGaSb2",
  "functional": "PBE",
  "state": "optimized geometry",
  "spacegroup": "No. 12",
  "raw_formation_energy_mev_per_atom": -211,
  "crystal_system": "monoclinic",
  "lattice": [[5.1327, 0.0000, 0.0000], [-2.5664, 7.1165, 0.2021], [0.0000, -1.4622, 9.8936]],
  "species": ["K", "K", "In", "In", "Ga", "Ga", "Sb", "Sb", "Sb", "Sb"],
  "fractional_positions": [[0.3328, 0.6656, 0.3133], [0.6672, 0.3344, 0.6867], [0.0497, 0.0994, 0.2104], [0.9503, 0.9006, 0.7896], [0.6651, 0.3303, 0.0693], [0.3349, 0.6697, 0.9307], [0.3830, 0.7660, 0.6730], [0.6170, 0.2340, 0.3270], [0.1370, 0.2740, 0.9482], [0.8630, 0.7260, 0.0518]]
}

---

{
  "formula": "ScSbAu2",
  "functional": "PBE",
  "state": "optimized geometry",
  "spacegroup": "No. 25",
  "raw_formation_energy_mev_per_atom": -382,
  "crystal_system": "orthorhombic",
  "lattice": [[3.2927, 0.0000, 0.0000], [0.0000, 4.0221, 0.0000], [0.0000, 0.0000, 6.3758]],
  "species": ["Au", "Au", "Sb", "Sc"],
  "fractional_positions": [[0.0000, 0.0000, 0.9965], [0.5000, 0.5000, 0.2139], [0.0000, 0.0000, 0.5169], [0.5000, 0.5000, 0.7727]]
}

---

{
  "formula": "CuO2F",
  "functional": "PBE",
  "state": "optimized geometry",
  "spacegroup": "No. 225",
  "raw_formation_energy_mev_per_atom": 636,
  "crystal_system": "cubic",
  "lattice": [[1.5868, -3.2944, -0.0634], [-1.7932, -2.9183, 1.2817], [-1.2050, -2.5659, -2.3106]],
  "species": ["O", "O", "Cu", "F"],
  "fractional_positions": [[0.2500, 0.2500, 0.2500], [0.7500, 0.7500, 0.7500], [0.5000, 0.5000, 0.5000], [0.0000, 0.0000, 0.0000]]
}